{
  "formula": "AgBiN2F",
  "functional": "PBE",
  "state": "relaxed",
  "total_magnetization_mub_per_atom": 0.300,
  "e_tot_ev_per_atom": -4.192,
  "spacegroup": "P4/mmm",
  "cell": [[4.376, 0.000, 0.000], [0.000, 4.376, 0.000], [0.000, 0.000, 4.469]],
  "species": ["N", "N", "F", "Bi", "Ag"],
  "frac_coords": [[0.500, 0.000, 0.000], [0.000, 0.500, 0.000], [0.000, 0.000, 0.500], [0.000, 0.000, 0.000], [0.500, 0.500, 0.500]]
}